(1)
## SmY2Ho5Th (PBE-GGA)

Data for a relaxed SmY2Ho5Th crystal.

Cell: 5.7041 21.3072 9.7821 Å, 90.00 90.00 90.00°
Space group Cmc2_1 (No. 36)
Symmetry-distinct sites (fractional):
Sm 0.0000 0.1918 0.0000 (multiplicity 4)
Y 0.0000 0.1154 0.3122 (multiplicity 4)
Y 0.0000 0.1274 0.6953 (multiplicity 4)
Ho 0.0000 0.0152 0.0011 (multiplicity 4)
Ho 0.0000 0.2727 0.3054 (multiplicity 4)
Ho 0.0000 0.3046 0.6953 (multiplicity 4)
Ho 0.0000 0.4002 0.0208 (multiplicity 4)
Ho 0.0000 0.4690 0.7208 (multiplicity 4)
Th 0.0000 0.4075 0.4049 (multiplicity 4)

ρ: 7.74 g cm⁻³
Raw total energy: -5.17 eV/atom
Energy of formation: 0.163 eV/atom
Total moment: 0.0 Bohr magnetons per cell

(2)
## Sm6Y3HoTh2 (PBE-GGA)

Data for a relaxed Sm6Y3HoTh2 crystal.

Cell: 6.2313 10.7819 11.9658 Å, 90.00 100.01 90.00°
Space group C2/m (No. 12)
Symmetry-distinct sites (fractional):
Sm 0.2460 0.0000 0.2472 (multiplicity 4)
Sm 0.2495 0.1680 0.7532 (multiplicity 8)
Y 0.0000 0.0000 0.5000 (multiplicity 2)
Y 0.0000 0.3334 0.5000 (multiplicity 4)
Ho 0.0000 0.5000 0.0000 (multiplicity 2)
Th 0.0000 0.1665 0.0000 (multiplicity 4)

ρ: 7.54 g cm⁻³
Raw total energy: -5.56 eV/atom
Energy of formation: 0.033 eV/atom
Total moment: 0.0 Bohr magnetons per cell

(3)
## Sm5Y2HoTh (PBE-GGA)

Data for a relaxed Sm5Y2HoTh crystal.

Cell: 5.6509 20.3625 10.5740 Å, 90.00 90.00 90.00°
Space group Cmc2_1 (No. 36)
Symmetry-distinct sites (fractional):
Sm 0.0000 0.0158 0.0000 (multiplicity 4)
Sm 0.0000 0.2777 0.2902 (multiplicity 4)
Sm 0.0000 0.2943 0.6832 (multiplicity 4)
Sm 0.0000 0.3899 0.0052 (multiplicity 4)
Sm 0.0000 0.4801 0.7233 (multiplicity 4)
Y 0.0000 0.1121 0.7155 (multiplicity 4)
Y 0.0000 0.1155 0.2944 (multiplicity 4)
Ho 0.0000 0.4067 0.4367 (multiplicity 4)
Th 0.0000 0.2007 0.9906 (multiplicity 4)

ρ: 7.24 g cm⁻³
Raw total energy: -5.24 eV/atom
Energy of formation: 0.154 eV/atom
Total moment: 0.0 Bohr magnetons per cell

(4)
## SmY3Ho6Th2 (PBE-GGA)

Data for a relaxed SmY3Ho6Th2 crystal.

Cell: 6.1732 10.6823 11.7507 Å, 90.00 100.09 90.00°
Space group C2/m (No. 12)
Symmetry-distinct sites (fractional):
Sm 0.0000 0.0000 0.0000 (multiplicity 2)
Y 0.0000 0.1663 0.5000 (multiplicity 4)
Y 0.0000 0.5000 0.5000 (multiplicity 2)
Ho 0.2453 0.5000 0.2478 (multiplicity 4)
Ho 0.2481 0.3312 0.7525 (multiplicity 8)
Th 0.0000 0.3333 0.0000 (multiplicity 4)

ρ: 8.14 g cm⁻³
Raw total energy: -5.51 eV/atom
Energy of formation: 0.029 eV/atom
Total moment: 0.0 Bohr magnetons per cell

(5)
## SmY5Ho2Th (PBE-GGA)

Data for a relaxed SmY5Ho2Th crystal.

Cell: 5.7513 21.3646 9.7282 Å, 90.00 90.00 90.00°
Space group Cmc2_1 (No. 36)
Symmetry-distinct sites (fractional):
Sm 0.0000 0.0967 0.0000 (multiplicity 4)
Y 0.0000 0.0278 0.6814 (multiplicity 4)
Y 0.0000 0.1104 0.3868 (multiplicity 4)
Y 0.0000 0.1954 0.7134 (multiplicity 4)
Y 0.0000 0.2335 0.0887 (multiplicity 4)
Y 0.0000 0.4864 0.4112 (multiplicity 4)
Ho 0.0000 0.3690 0.7157 (multiplicity 4)
Ho 0.0000 0.3876 0.1029 (multiplicity 4)
Th 0.0000 0.3111 0.4020 (multiplicity 4)

ρ: 6.43 g cm⁻³
Raw total energy: -5.80 eV/atom
Energy of formation: 0.160 eV/atom
Total moment: 0.0 Bohr magnetons per cell

(6)
## SmHoThZn (PBE-GGA)

Data for a relaxed SmHoThZn crystal.

Cell: 3.5803 3.5803 8.6102 Å, 90.00 90.00 90.00°
Space group P4mm (No. 99)
Symmetry-distinct sites (fractional):
Sm 0.0000 0.0000 0.0000 (multiplicity 1)
Ho 0.0000 0.0000 0.5751 (multiplicity 1)
Th 0.5000 0.5000 0.2918 (multiplicity 1)
Zn 0.5000 0.5000 0.7779 (multiplicity 1)

ρ: 9.22 g cm⁻³
Raw total energy: -4.65 eV/atom
Energy of formation: -0.155 eV/atom
Total moment: 0.0 Bohr magnetons per cell

(7)
## SmHoThZr (PBE-GGA)

Data for a relaxed SmHoThZr crystal.

Cell: 7.7732 7.7732 7.7732 Å, 90.00 90.00 90.00°
Space group F-43m (No. 216)
Symmetry-distinct sites (fractional):
Sm 0.0000 0.0000 0.0000 (multiplicity 4)
Ho 0.2500 0.2500 0.2500 (multiplicity 4)
Th 0.0000 0.0000 0.5000 (multiplicity 4)
Zr 0.2500 0.2500 0.7500 (multiplicity 4)

ρ: 9.03 g cm⁻³
Raw total energy: -6.15 eV/atom
Energy of formation: 0.169 eV/atom
Total moment: 0.0 Bohr magnetons per cell

(8)
## SmHo2Ti (PBE-GGA)

Data for a relaxed SmHo2Ti crystal.

Cell: 3.3588 3.3588 35.2758 Å, 90.00 90.00 120.00°
Space group R-3m (No. 166, hexagonal axes)
Symmetry-distinct sites (fractional):
Sm 0.0000 0.0000 0.0000 (multiplicity 3)
Ho 0.0000 0.0000 0.4170 (multiplicity 6)
Ti 0.0000 0.0000 0.5000 (multiplicity 3)

ρ: 7.63 g cm⁻³
Raw total energy: -5.02 eV/atom
Energy of formation: 0.426 eV/atom
E above lowest polymorph: 269 meV per atom
Total moment: 5.7 Bohr magnetons per cell

(9)
## SmHo2Ti (PBE-GGA)

Data for a relaxed SmHo2Ti crystal.

Cell: 3.3845 3.3845 9.7150 Å, 90.00 90.00 90.00°
Space group P4/mmm (No. 123)
Symmetry-distinct sites (fractional):
Sm 0.0000 0.0000 0.0000 (multiplicity 1)
Ho 0.5000 0.5000 0.2855 (multiplicity 2)
Ti 0.0000 0.0000 0.5000 (multiplicity 1)

ρ: 7.88 g cm⁻³
Raw total energy: -5.29 eV/atom
Energy of formation: 0.157 eV/atom
E above lowest polymorph: 0 meV per atom
Total moment: 0.0 Bohr magnetons per cell

(10)
## SmHoTi (PBE-GGA)

Data for a relaxed SmHoTi crystal.

Cell: 3.5700 3.5700 12.8750 Å, 90.00 90.00 90.00°
Space group P4/nmm (No. 129, origin choice 2)
Symmetry-distinct sites (fractional):
Sm 0.2500 0.2500 0.0983 (multiplicity 2)
Ho 0.2500 0.2500 0.6949 (multiplicity 2)
Ti 0.2500 0.2500 0.4572 (multiplicity 2)

ρ: 7.35 g cm⁻³
Raw total energy: -5.64 eV/atom
Energy of formation: 0.089 eV/atom
Total moment: 0.0 Bohr magnetons per cell

(11)
## Sm12Ho5Tl2 (PBE-GGA)

Data for a relaxed Sm12Ho5Tl2 crystal.

Cell: 15.4537 9.3751 8.5192 Å, 90.00 92.79 90.00°
Space group C2/m (No. 12)
Symmetry-distinct sites (fractional):
Sm 0.0555 0.0000 0.3191 (multiplicity 4)
Sm 0.0841 0.5000 0.8845 (multiplicity 4)
Sm 0.1235 0.1950 0.6549 (multiplicity 8)
Sm 0.1509 0.3150 0.2349 (multiplicity 8)
Ho 0.0000 0.5000 0.5000 (multiplicity 2)
Ho 0.1855 0.0000 0.0042 (multiplicity 4)
Ho 0.2329 0.5000 0.5853 (multiplicity 4)
Tl 0.0000 0.1839 0.0000 (multiplicity 4)

ρ: 8.18 g cm⁻³
Raw total energy: -4.41 eV/atom
Energy of formation: 0.019 eV/atom
Total moment: 0.0 Bohr magnetons per cell

(12)
## SmHo6Tl (PBE-GGA)

Data for a relaxed SmHo6Tl crystal.

Cell: 4.8913 4.8913 10.0313 Å, 90.00 90.00 90.00°
Space group P4/mmm (No. 123)
Symmetry-distinct sites (fractional):
Sm 0.0000 0.0000 0.0000 (multiplicity 1)
Ho 0.0000 0.5000 0.2558 (multiplicity 4)
Ho 0.5000 0.5000 0.0000 (multiplicity 1)
Ho 0.5000 0.5000 0.5000 (multiplicity 1)
Tl 0.0000 0.0000 0.5000 (multiplicity 1)

ρ: 9.30 g cm⁻³
Raw total energy: -4.39 eV/atom
Energy of formation: -0.068 eV/atom
E above lowest polymorph: 0 meV per atom
Total moment: 0.0 Bohr magnetons per cell

(13)
## SmHoTl (PBE-GGA)

Data for a relaxed SmHoTl crystal.

Cell: 5.4559 5.4559 6.7499 Å, 90.00 90.00 120.00°
Space group P6_3/mmc (No. 194)
Symmetry-distinct sites (fractional):
Sm 0.0000 0.0000 0.0000 (multiplicity 2)
Ho 0.3333 0.6667 0.2500 (multiplicity 2)
Tl 0.3333 0.6667 0.7500 (multiplicity 2)

ρ: 9.92 g cm⁻³
Raw total energy: -4.15 eV/atom
Energy of formation: -0.260 eV/atom
E above lowest polymorph: 0 meV per atom
Total moment: 0.0 Bohr magnetons per cell

(14)
## Sm6Ho5Tl (PBE-GGA)

Data for a relaxed Sm6Ho5Tl crystal.

Cell: 5.0049 9.9700 15.1738 Å, 90.00 90.00 90.00°
Space group Immm (No. 71)
Symmetry-distinct sites (fractional):
Sm 0.0000 0.2456 0.0000 (multiplicity 4)
Sm 0.0000 0.2539 0.3338 (multiplicity 8)
Ho 0.0000 0.0000 0.1687 (multiplicity 4)
Ho 0.0000 0.0000 0.5000 (multiplicity 2)
Ho 0.0000 0.5000 0.1639 (multiplicity 4)
Tl 0.0000 0.5000 0.5000 (multiplicity 2)

ρ: 8.47 g cm⁻³
Raw total energy: -4.50 eV/atom
Energy of formation: -0.032 eV/atom
Total moment: 0.0 Bohr magnetons per cell

(15)
## SmHo2Tl (PBE-GGA)

Data for a relaxed SmHo2Tl crystal.

Cell: 7.7437 7.7437 7.7437 Å, 90.00 90.00 90.00°
Space group Fm-3m (No. 225)
Symmetry-distinct sites (fractional):
Sm 0.0000 0.0000 0.0000 (multiplicity 4)
Ho 0.2500 0.2500 0.2500 (multiplicity 8)
Tl 0.0000 0.0000 0.5000 (multiplicity 4)

ρ: 9.79 g cm⁻³
Raw total energy: -4.06 eV/atom
Energy of formation: -0.003 eV/atom
E above lowest polymorph: 178 meV per atom
Total moment: 6.2 Bohr magnetons per cell

(16)
## Sm15HoTl4 (PBE-GGA)

Data for a relaxed Sm15HoTl4 crystal.

Cell: 4.9395 4.9395 25.2055 Å, 90.00 90.00 90.00°
Space group P4/mmm (No. 123)
Symmetry-distinct sites (fractional):
Sm 0.0000 0.0000 0.0000 (multiplicity 1)
Sm 0.0000 0.0000 0.2037 (multiplicity 2)
Sm 0.0000 0.0000 0.4016 (multiplicity 2)
Sm 0.0000 0.5000 0.1042 (multiplicity 4)
Sm 0.0000 0.5000 0.3027 (multiplicity 4)
Sm 0.0000 0.5000 0.5000 (multiplicity 2)
Ho 0.5000 0.5000 0.0000 (multiplicity 1)
Tl 0.5000 0.5000 0.2059 (multiplicity 2)
Tl 0.5000 0.5000 0.4015 (multiplicity 2)

ρ: 8.74 g cm⁻³
Raw total energy: -4.39 eV/atom
Energy of formation: -0.148 eV/atom
Total moment: 0.0 Bohr magnetons per cell

(17)
## Sm3Ho5Tl (PBE-GGA)

Data for a relaxed Sm3Ho5Tl crystal.

Cell: 9.2151 9.2151 13.7997 Å, 90.00 90.00 90.00°
Space group I4/mcm (No. 140)
Symmetry-distinct sites (fractional):
Sm 0.0000 0.0000 0.2500 (multiplicity 4)
Sm 0.1160 0.3840 0.0000 (multiplicity 8)
Ho 0.0000 0.0000 0.0000 (multiplicity 4)
Ho 0.1913 0.3087 0.3651 (multiplicity 16)
Tl 0.0000 0.5000 0.2500 (multiplicity 4)

ρ: 8.39 g cm⁻³
Raw total energy: -4.19 eV/atom
Energy of formation: 0.191 eV/atom
Total moment: 0.0 Bohr magnetons per cell

(18)
## Sm7HoTl5 (PBE-GGA)

Data for a relaxed Sm7HoTl5 crystal.

Cell: 6.7098 10.8331 11.0688 Å, 90.00 90.00 90.00°
Space group Imm2 (No. 44)
Symmetry-distinct sites (fractional):
Sm 0.0000 0.0000 0.0000 (multiplicity 2)
Sm 0.0000 0.0000 0.3311 (multiplicity 2)
Sm 0.0000 0.3132 0.1128 (multiplicity 4)
Sm 0.0000 0.3352 0.6283 (multiplicity 4)
Sm 0.0000 0.5000 0.3543 (multiplicity 2)
Ho 0.0000 0.0000 0.6697 (multiplicity 2)
Tl 0.0000 0.5000 0.8832 (multiplicity 2)
Tl 0.2447 0.2387 0.8690 (multiplicity 8)

ρ: 9.24 g cm⁻³
Raw total energy: -3.97 eV/atom
Energy of formation: -0.165 eV/atom
Total moment: 0.0 Bohr magnetons per cell

(19)
## SmHo5Tl (PBE-GGA)

Data for a relaxed SmHo5Tl crystal.

Cell: 8.4000 11.3330 5.9437 Å, 90.00 90.00 90.00°
Space group Imm2 (No. 44)
Symmetry-distinct sites (fractional):
Sm 0.0000 0.0000 0.0000 (multiplicity 2)
Ho 0.0000 0.0000 0.5141 (multiplicity 2)
Ho 0.0000 0.2523 0.1619 (multiplicity 4)
Ho 0.1732 0.5000 0.7651 (multiplicity 4)
Tl 0.0000 0.5000 0.2983 (multiplicity 2)

ρ: 6.92 g cm⁻³
Raw total energy: -3.46 eV/atom
Energy of formation: 0.826 eV/atom
Total moment: 0.0 Bohr magnetons per cell

(20)
## Sm5HoTl8 (PBE-GGA)

Data for a relaxed Sm5HoTl8 crystal.

Cell: 9.4327 9.4327 9.3172 Å, 90.00 90.00 90.00°
Space group I-4 (No. 82)
Symmetry-distinct sites (fractional):
Sm 0.0000 0.0000 0.0000 (multiplicity 2)
Sm 0.1211 0.2467 0.6267 (multiplicity 8)
Ho 0.0000 0.5000 0.2500 (multiplicity 2)
Tl 0.0789 0.3330 0.9620 (multiplicity 8)
Tl 0.0842 0.1742 0.2904 (multiplicity 8)

ρ: 10.22 g cm⁻³
Raw total energy: -3.64 eV/atom
Energy of formation: -0.274 eV/atom
Total moment: 0.0 Bohr magnetons per cell